First-principles (PBEsol) data for crystalline GaAsPBr2 at its relaxed geometry, as listed in the Alexandria database.

a b c (Å): 4.8831 4.8831 5.2584
angles (deg): 90.00 90.00 90.00
Atoms (fractional coordinates):
Ga 0.0000 0.0000 0.0000
As 0.0000 0.0000 0.5000
P 0.5000 0.5000 0.5000
Br 0.0000 0.5000 0.0000
Br 0.5000 0.0000 0.0000

Calculated values
Size of the total moment (μB per formula unit): 0.93
Space group: No. 123
ΔE_f (raw) (meV per atom): 622



First-principles (PBEsol) data for crystalline YZrHg2 at its relaxed geometry, as listed in the Alexandria database.

a b c (Å): 3.5186 5.0611 5.0607
angles (deg): 90.00 90.00 90.00
Atoms (fractional coordinates):
Y 0.0000 0.0000 0.0000
Zr 0.0000 0.5000 0.5008
Hg 0.5000 0.0000 0.4999
Hg 0.5000 0.5000 0.0012

Calculated values
Energy above the lowest structure with this stoichiometry (eV per atom): 0.0131
Size of the total moment (μB per formula unit): 0.84
Space group: No. 25